## NaPb2F (GGA-PBE)

Data for an optimized crystal structure of NaPb2F.

Lattice parameters (Å, degrees): 7.2641 7.2641 7.2641 90.00 90.00 90.00
Closest atoms and distances in Å follow each position.
Space group Fm-3m (No. 225)
Inequivalent atoms, fractional coordinates:
Na 0.0000 0.0000 0.0000 [4 per cell]  8 Pb 3.15
Pb 0.2500 0.2500 0.2500 [8 per cell]  4 F 3.15, 4 Na 3.15
F 0.0000 0.0000 0.5000 [4 per cell]  8 Pb 3.15

Results
formation energy from raw total energies = -459.8 meV/atom
relative energy among the computed polymorphs = 128 meV per atom
density of states at the Fermi level = 0.578 states/eV/atom